An optimized crystal structure of LiBeO, computed with GGA-PBE.

a b c (Å): 5.5429 5.5429 4.6810
angles (deg): 100.38 100.38 127.11
Last column: nearest neighbours and their distance in Å.
Fractional coordinates of all 12 atoms:
Li 0.0657 0.9343 0.5000  2 O 2.02-2.07
Li 0.3703 0.9855 0.0223  2 O 2.00-2.09
Li 0.9343 0.0657 0.0000  2 O 2.02-2.07
Li 0.9855 0.3703 0.5223  2 O 2.00-2.09
Be 0.4920 0.8498 0.5198  3 O 1.63-1.70
Be 0.5066 0.6413 0.1095  3 O 1.65-1.73
Be 0.6413 0.5066 0.6095  3 O 1.65-1.73
Be 0.8498 0.4920 0.0198  3 O 1.63-1.70
O 0.1698 0.5433 0.1872  3 Be 1.63-1.73
O 0.4605 0.6342 0.7483  3 Be 1.65-1.70
O 0.5433 0.1698 0.6872  3 Be 1.63-1.73
O 0.6342 0.4605 0.2483  3 Be 1.65-1.70

Values from the calculation:
**Raw formation energy**: -150.5 kJ/mol of atoms
**Uncorrected energy**: -5.0930 eV/atom
**ρ**: 2.0 g/cm3
**Space-group type**: Cc, No. 9


An optimized crystal structure of Tb6Dy8Mg, computed with GGA-PBE.

a b c (Å): 9.3827 9.3827 6.2547
angles (deg): 90.00 90.00 120.00
Last column: nearest neighbours and their distance in Å.
Fractional coordinates of all 15 atoms:
Tb 0.0913 0.6395 0.3160  1 Tb 3.26, 5 Dy 3.34-3.62
Tb 0.3605 0.4517 0.3160  1 Tb 3.26, 5 Dy 3.34-3.62
Tb 0.4517 0.0913 0.6840  1 Tb 3.26, 5 Dy 3.34-3.62
Tb 0.5483 0.9087 0.3160  1 Tb 3.26, 5 Dy 3.34-3.62
Tb 0.6395 0.5483 0.6840  1 Tb 3.26, 5 Dy 3.34-3.62
Tb 0.9087 0.3605 0.6840  1 Tb 3.26, 5 Dy 3.34-3.62
Dy 0.0376 0.7700 0.8137  1 Mg 3.06, 3 Dy 3.31-3.37, 1 Tb 3.34
Dy 0.2300 0.2676 0.8137  1 Mg 3.06, 3 Dy 3.31-3.37, 1 Tb 3.34
Dy 0.2676 0.0376 0.1863  1 Mg 3.06, 3 Dy 3.31-3.37, 1 Tb 3.34
Dy 0.3333 0.6667 0.8235  3 Dy 3.37, 6 Tb 3.67-3.76
Dy 0.6667 0.3333 0.1765  3 Dy 3.37, 6 Tb 3.67-3.76
Dy 0.7324 0.9624 0.8137  1 Mg 3.06, 3 Dy 3.31-3.37, 1 Tb 3.34
Dy 0.7700 0.7324 0.1863  1 Mg 3.06, 3 Dy 3.31-3.37, 1 Tb 3.34
Dy 0.9624 0.2300 0.1863  1 Mg 3.06, 3 Dy 3.31-3.37, 1 Tb 3.34
Mg 0.0000 0.0000 0.5000  6 Dy 3.06

Values from the calculation:
**Uncorrected energy**: -4.2726 eV/atom
**ρ**: 7.9 g/cm3
**Space-group type**: P-3, No. 147
**E_form**: 140 meV per atom
**Density of states at the Fermi level**: 18.9 states/eV/f.u.


An optimized crystal structure of Al4GaFe15, computed with GGA-PBE.

a b c (Å): 3.6424 3.6424 18.3171
angles (deg): 90.00 90.00 90.00
Last column: nearest neighbours and their distance in Å.
Fractional coordinates of all 20 atoms:
Al 0.0000 0.0000 0.0999  12 Fe 2.58
Al 0.0000 0.0000 0.2997  12 Fe 2.58
Al 0.0000 0.0000 0.7003  12 Fe 2.58
Al 0.0000 0.0000 0.9001  12 Fe 2.58
Ga 0.0000 0.0000 0.5000  12 Fe 2.58-2.59
Fe 0.0000 0.5000 0.0000  8 Fe 2.58, 4 Al 2.58
Fe 0.0000 0.5000 0.1998  8 Fe 2.58, 4 Al 2.58
Fe 0.0000 0.5000 0.3997  8 Fe 2.58-2.59, 2 Al 2.58, 2 Ga 2.59
Fe 0.0000 0.5000 0.6003  8 Fe 2.58-2.59, 2 Al 2.58, 2 Ga 2.59
Fe 0.0000 0.5000 0.8002  8 Fe 2.58, 4 Al 2.58
Fe 0.5000 0.0000 0.0000  8 Fe 2.58, 4 Al 2.58
Fe 0.5000 0.0000 0.1998  8 Fe 2.58, 4 Al 2.58
Fe 0.5000 0.0000 0.3997  8 Fe 2.58-2.59, 2 Al 2.58, 2 Ga 2.59
Fe 0.5000 0.0000 0.6003  8 Fe 2.58-2.59, 2 Al 2.58, 2 Ga 2.59
Fe 0.5000 0.0000 0.8002  8 Fe 2.58, 4 Al 2.58
Fe 0.5000 0.5000 0.0999  4 Al 2.58, 8 Fe 2.58
Fe 0.5000 0.5000 0.3000  4 Al 2.58, 8 Fe 2.58
Fe 0.5000 0.5000 0.5000  4 Ga 2.58, 8 Fe 2.59
Fe 0.5000 0.5000 0.7000  4 Al 2.58, 8 Fe 2.58
Fe 0.5000 0.5000 0.9001  4 Al 2.58, 8 Fe 2.58

Values from the calculation:
**Uncorrected energy**: -7.4259 eV/atom
**ρ**: 6.9 g/cm3
**Space-group type**: P4/mmm, No. 123
**E_form**: -179 meV per atom
**Density of states at the Fermi level**: 10.4 states/eV/f.u.


An optimized crystal structure of SiHg5, computed with GGA-PBE.

a b c (Å): 4.9684 11.0016 11.0016
angles (deg): 16.33 90.00 90.00
Last column: nearest neighbours and their distance in Å.
Fractional coordinates of all 6 atoms:
Si 0.0000 0.0000 0.0000  4 Hg 2.56-2.70
Hg 0.0000 0.2595 0.2595  8 Hg 3.12-3.40
Hg 0.0000 0.6010 0.6010  2 Si 2.70
Hg 0.5000 0.3464 0.3464  6 Hg 3.12-3.14
Hg 0.5000 0.6804 0.6804  4 Hg 3.03-3.12
Hg 0.5000 0.9713 0.9713  2 Si 2.56

Values from the calculation:
**Raw formation energy**: 20.6 kJ/mol of atoms
**Uncorrected energy**: -0.9420 eV/atom
**ρ**: 10.1 g/cm3
**Space-group type**: Amm2, No. 38
**Polymorph energy (0 for the lowest one)**: 50 meV per atom
**Density of states at the Fermi level**: 1.3 states/eV/f.u.


An optimized crystal structure of Ge2Te6PbAu, computed with GGA-PBE.

a b c (Å): 9.9257 9.9257 7.3180
angles (deg): 102.09 102.09 85.24
Last column: nearest neighbours and their distance in Å.
Fractional coordinates of all 20 atoms:
Ge 0.1369 0.2659 0.2350  4 Te 2.64-2.68
Ge 0.2659 0.1369 0.7350  4 Te 2.64-2.68
Ge 0.7341 0.8631 0.2650  4 Te 2.64-2.68
Ge 0.8631 0.7341 0.7650  4 Te 2.64-2.68
Te 0.0375 0.2262 0.5279  2 Ge 2.65
Te 0.0948 0.6214 0.9430  1 Au 2.63, 1 Ge 2.68
Te 0.2262 0.0375 0.0279  2 Ge 2.65
Te 0.3131 0.4647 0.3033  1 Ge 2.64
Te 0.3786 0.9052 0.5570  1 Au 2.63, 1 Ge 2.68
Te 0.4647 0.3131 0.8033  1 Ge 2.64
Te 0.5353 0.6869 0.1967  1 Ge 2.64
Te 0.6214 0.0948 0.4430  1 Au 2.63, 1 Ge 2.68
Te 0.6869 0.5353 0.6967  1 Ge 2.64
Te 0.7738 0.9625 0.9721  2 Ge 2.65
Te 0.9052 0.3786 0.0570  1 Au 2.63, 1 Ge 2.68
Te 0.9625 0.7738 0.4721  2 Ge 2.65
Pb 0.3771 0.6229 0.7500  6 Te 3.21-3.39
Pb 0.6229 0.3771 0.2500  6 Te 3.21-3.39
Au 0.1994 0.8006 0.2500  2 Te 2.63
Au 0.8006 0.1994 0.7500  2 Te 2.63

Values from the calculation:
**Raw formation energy**: -3.3 kJ/mol of atoms
**Uncorrected energy**: -3.5414 eV/atom
**ρ**: 6.3 g/cm3
**Space-group type**: C2/c, No. 15
**Density of states at the Fermi level**: 4.9 states/eV/f.u.


An optimized crystal structure of YMgTlIn, computed with GGA-PBE.

a b c (Å): 5.2423 5.2423 5.2423
angles (deg): 60.00 60.00 60.00
Last column: nearest neighbours and their distance in Å.
Fractional coordinates of all 4 atoms:
Y 0.0000 0.0000 0.0000  4 Tl 3.21, 4 In 3.21
Mg 0.5000 0.5000 0.5000  4 Tl 3.21, 4 In 3.21
Tl 0.7500 0.7500 0.7500  4 Mg 3.21, 4 Y 3.21
In 0.2500 0.2500 0.2500  4 Mg 3.21, 4 Y 3.21

Values from the calculation:
**Uncorrected energy**: -3.5360 eV/atom
**ρ**: 7.0 g/cm3
**Space-group type**: F-43m, No. 216
**Polymorph energy (0 for the lowest one)**: 91 meV per atom
**E_form**: -245 meV per atom
**Density of states at the Fermi level**: 2.0 states/eV/f.u.


An optimized crystal structure of LiDyTmOs, computed with GGA-PBE.

a b c (Å): 4.8618 4.8618 4.8618
angles (deg): 60.00 60.00 60.00
Last column: nearest neighbours and their distance in Å.
Fractional coordinates of all 4 atoms:
Li 0.0000 0.0000 0.0000  4 Dy 2.98, 4 Tm 2.98
Dy 0.7500 0.7500 0.7500  4 Os 2.98, 4 Li 2.98
Tm 0.2500 0.2500 0.2500  4 Os 2.98, 4 Li 2.98
Os 0.5000 0.5000 0.5000  4 Dy 2.98, 4 Tm 2.98

Values from the calculation:
**Uncorrected energy**: -5.8179 eV/atom
**ρ**: 10.8 g/cm3
**Space-group type**: F-43m, No. 216
**E_form**: -264 meV per atom
**Density of states at the Fermi level**: 2.6 states/eV/f.u.


An optimized crystal structure of KRb3C, computed with GGA-PBE.

a b c (Å): 6.5487 6.5487 6.5487
angles (deg): 90.00 90.00 90.00
Last column: nearest neighbours and their distance in Å.
Fractional coordinates of all 5 atoms:
K 0.0000 0.0000 0.0000  12 Rb 4.63
Rb 0.0000 0.5000 0.5000  2 C 3.27
Rb 0.5000 0.0000 0.5000  2 C 3.27
Rb 0.5000 0.5000 0.0000  2 C 3.27
C 0.5000 0.5000 0.5000  6 Rb 3.27

Values from the calculation:
**Uncorrected energy**: -1.7605 eV/atom
**ρ**: 1.8 g/cm3
**Space-group type**: Pm-3m, No. 221
**Polymorph energy (0 for the lowest one)**: 0 meV per atom
**E_form**: 884 meV per atom
**Density of states at the Fermi level**: 1.8 states/eV/f.u.


| no. | size of the total moment (μB per formula unit) |
| --- | --- |
| 1 | 0.00 |
| 2 | 0.00 |
| 3 | 34.48 |
| 4 | 0.00 |
| 5 | 0.00 |
| 6 | 0.00 |
| 7 | 0.00 |
| 8 | 2.04 |